The following is a DFT calculation (PBE-GGA) of a relaxed Rb2CoBr4 crystal.

Cell lengths 7.4967, 7.6441, 9.8020 Å; angles 90.00, 108.75, 90.00 degrees
Last column: nearest neighbours and their distance in Å.
Space group P2_1/m (No. 11)
Inequivalent atoms, fractional coordinates:
Rb 0.2106 0.2500 0.0432 [2 per cell]  6 Br 3.44-3.64
Rb 0.2878 0.2500 0.5766 [2 per cell]  8 Br 3.57-3.94
Co 0.2082 0.7500 0.7903 [2 per cell]  4 Br 2.40-2.41
Br 0.0006 0.5020 0.7312 [4 per cell]  1 Co 2.40
Br 0.3679 0.7500 0.0461 [2 per cell]  1 Co 2.41
Br 0.4113 0.7500 0.6436 [2 per cell]  1 Co 2.41

## Properties
- Energy relative to the elements, uncorrected: -112 kJ per mole of atoms
- Total moment: 3.00 μB/f.u.